A relaxed NaSr4Ca crystal. Source: Alexandria via LeMat-Bulk, functional PBE.

Properties
Total DFT energy (no corrections)   -1.616 eV/atom
Distance to the lowest polymorph of the same formula   47 meV/atom
ΔH_f (0 K)   0.059 eV/atom
Magnetization   0.00 Bohr magnetons per cell

Geometry as CIF:
```
data_NaSr4Ca
_cell_length_a 8.1469
_cell_length_b 22.7164
_cell_length_c 7.6778
_cell_angle_alpha 90.00
_cell_angle_beta 121.82
_cell_angle_gamma 90.00
_space_group_name_H-M_alt 'C 1 2/c 1'
_space_group_IT_number 15
_space_group_name_Hall '-C 2yc'
loop_
_atom_site_label
_atom_site_type_symbol
_atom_site_fract_x
_atom_site_fract_y
_atom_site_fract_z
Na1 Na 0.0000 0.0293 0.2500
Sr1 Sr 0.2423 0.1211 0.7328
Sr2 Sr 0.2455 0.3003 0.7493
Ca1 Ca 0.0000 0.4660 0.7500
```

***

A relaxed Na2Sr5Ca crystal. Source: Alexandria via LeMat-Bulk, functional PBE.

Properties
Total DFT energy (no corrections)   -1.582 eV/atom
ΔH_f (0 K)   0.049 eV/atom
Magnetization   0.00 Bohr magnetons per cell

Geometry as CIF:
```
data_Na2Sr5Ca
_cell_length_a 9.7791
_cell_length_b 9.7791
_cell_length_c 16.5108
_cell_angle_alpha 90.00
_cell_angle_beta 90.00
_cell_angle_gamma 90.00
_space_group_name_H-M_alt 'I 4/m c m'
_space_group_IT_number 140
_space_group_name_Hall '-I 4 2c'
loop_
_atom_site_label
_atom_site_type_symbol
_atom_site_fract_x
_atom_site_fract_y
_atom_site_fract_z
Na1 Na 0.1341 0.3659 0.0000
Sr1 Sr 0.0000 0.0000 0.0000
Sr2 Sr 0.1582 0.3418 0.3483
Ca1 Ca 0.0000 0.0000 0.2500
```

***

Which of these has the highest ΔH_f (0 K)? NaSr4Ca